Entry 1:
A plane-wave DFT calculation with PBE was carried out for a geometry-optimized BaZr2Ag structure.

extended XYZ file:
```
8
Lattice="4.363 0.000 0.000 0.000 4.363 0.000 2.182 2.182 11.670" Properties=species:S:1:pos:R:3 pbc="T T T"
Zr 3.183 1.091 2.917
Zr 1.181 3.273 2.917
Zr 3.273 3.362 8.752
Zr 5.454 5.364 8.752
Ba 0.000 0.000 0.000
Ba 4.363 2.182 5.835
Ag 2.182 2.182 0.000
Ag 2.182 4.363 5.835
```

Output
E_form = 0.574 eV per atom
E_tot = -4.89 eV/atom
SG = I-42d, No. 122

***

Entry 2:
A plane-wave DFT calculation with PBE was carried out for a geometry-optimized BaZr2Ag structure.

extended XYZ file:
```
4
Lattice="-2.306 3.186 -3.802 0.040 1.379 -5.293 -4.733 -4.332 -2.198" Properties=species:S:1:pos:R:3 pbc="T T T"
Ag -3.279 0.435 -5.685
Ba -5.173 0.319 -8.525
Zr -2.690 4.032 -9.117
Zr -1.622 0.129 -2.707
```

Output
E_form = 0.367 eV per atom
E_tot = -5.10 eV/atom
SG = Cm, No. 8

***

Entry 3:
A plane-wave DFT calculation with PBE was carried out for a geometry-optimized BaZr4Ag structure.

extended XYZ file:
```
6
Lattice="0.000 4.287 4.287 4.287 0.000 4.287 4.287 4.287 0.000" Properties=species:S:1:pos:R:3 pbc="T T T"
Ba 0.000 0.000 0.000
Zr 3.223 5.352 5.352
Zr 5.352 5.352 3.223
Zr 5.352 3.223 5.352
Zr 3.223 3.223 3.223
Ag 6.431 6.431 6.431
```

Output
E_form = 0.564 eV per atom
E_tot = -5.93 eV/atom
SG = F-43m, No. 216

***

Entry 4:
A plane-wave DFT calculation with PBE was carried out for a geometry-optimized BaZr2Ag structure.

extended XYZ file:
```
4
Lattice="3.429 0.000 0.000 0.000 3.431 0.013 0.000 3.390 9.414" Properties=species:S:1:pos:R:3 pbc="T T T"
Ag 0.000 3.411 4.238
Ba 1.715 5.121 6.812
Zr 0.000 3.428 0.580
Zr 1.715 1.702 2.523
```

Output
E_form = 0.115 eV per atom
E_tot = -5.35 eV/atom
SG = Pm, No. 6

***

Entry 5:
A plane-wave DFT calculation with PBE was carried out for a geometry-optimized BaZr2Ag structure.

extended XYZ file:
```
4
Lattice="3.557 0.006 0.000 -0.006 3.557 0.000 0.000 0.000 8.663" Properties=species:S:1:pos:R:3 pbc="T T T"
Ag 1.775 1.781 2.166
Ba 1.775 1.781 6.498
Zr 0.000 0.000 0.609
Zr 0.000 0.000 3.723
```

Output
E_form = 0.413 eV per atom
E_tot = -5.05 eV/atom
SG = P4/mmm, No. 123

***

Entry 6:
A plane-wave DFT calculation with PBE was carried out for a geometry-optimized Ba4ZrAg structure.

extended XYZ file:
```
6
Lattice="6.102 -0.014 3.923 -0.090 2.367 6.856 0.784 -4.700 5.470" Properties=species:S:1:pos:R:3 pbc="T T T"
Ba 5.593 -0.888 8.055
Ba 2.942 -3.224 8.826
Ba 2.506 0.299 9.517
Ba 2.551 -0.881 6.099
Zr 5.097 -1.761 12.187
Ag 0.000 0.000 0.000
```

Output
E_form = 0.825 eV per atom
E_tot = -2.36 eV/atom
SG = F-43m, No. 216

***

Please write out number 6 again, unchanged.
A plane-wave DFT calculation with PBE was carried out for a geometry-optimized Ba4ZrAg structure.

extended XYZ file:
```
6
Lattice="6.102 -0.014 3.923 -0.090 2.367 6.856 0.784 -4.700 5.470" Properties=species:S:1:pos:R:3 pbc="T T T"
Ba 5.593 -0.888 8.055
Ba 2.942 -3.224 8.826
Ba 2.506 0.299 9.517
Ba 2.551 -0.881 6.099
Zr 5.097 -1.761 12.187
Ag 0.000 0.000 0.000
```

Output
E_form = 0.825 eV per atom
E_tot = -2.36 eV/atom
SG = F-43m, No. 216